LaTb4Dy5 | PBE | relaxed

The space group is P-1 (No. 2) and the conventional cell measures 3.5324, 6.7431 and 14.1371 Å, with angles of 94.05, 95.18 and 103.04 degrees. Symmetry generates all atoms from La at (0.0000, 0.0000, 0.0000), Tb at (0.1725, 0.6750, 0.8016), Tb at (0.4697, 0.2003, 0.7848), Dy at (0.0148, 0.6098, 0.4034), Dy at (0.2988, 0.1361, 0.4000) and Dy at (0.5000, 0.5000, 0.0000).

The value obtained for the distance to the lowest polymorph of the same formula is 0.000 eV/atom. The value obtained for the magnetic moment is 0.00 μB per formula unit. As for the formation energy: 0.0681 eV per atom. The calculation puts the energy at -4.578 eV/atom.